[1]
## Mg4PtAu7 (PBE)

Data for crystalline Mg4PtAu7 at its relaxed geometry.

Output
- crystal system = triclinic
- density of states at the Fermi level (states/eV/cell) = 2.787
- calculated total energy (hartree per atom) = -0.1243

POSCAR file:
```
Mg4PtAu7
1.0
5.242 0.000 0.000
-0.151 5.693 0.000
-1.670 -2.558 7.164
Mg Pt Au
4 1 7
Direct
0.209 0.401 0.187 Mg
0.284 0.910 0.807 Mg
0.716 0.090 0.193 Mg
0.791 0.599 0.813 Mg
0.000 0.500 0.500 Pt
0.000 0.000 0.500 Au
0.193 0.879 0.133 Au
0.287 0.424 0.838 Au
0.484 0.246 0.490 Au
0.516 0.754 0.510 Au
0.713 0.576 0.162 Au
0.807 0.121 0.867 Au
```

***

[2]
## Mg4Pt2Au3 (PBE)

Data for crystalline Mg4Pt2Au3 at its relaxed geometry.

Output
- crystal system = triclinic
- density of states at the Fermi level (states/eV/cell) = 1.642
- calculated total energy (hartree per atom) = -0.1391

POSCAR file:
```
Mg4Pt2Au3
1.0
4.151 0.000 0.000
-2.069 4.333 0.000
-0.014 -1.805 8.514
Mg Pt Au
4 2 3
Direct
0.016 0.032 0.331 Mg
0.336 0.673 0.110 Mg
0.664 0.327 0.890 Mg
0.984 0.968 0.669 Mg
0.326 0.653 0.788 Pt
0.674 0.347 0.212 Pt
0.000 0.000 0.000 Au
0.337 0.674 0.432 Au
0.663 0.326 0.568 Au
```

***

[3]
## Mg2PtAu4 (PBE)

Data for crystalline Mg2PtAu4 at its relaxed geometry.

Output
- crystal system = tetragonal
- energy above the most stable polymorph in this dataset (meV/atom) = 204
- density of states at the Fermi level (states/eV/cell) = 5.688
- calculated total energy (hartree per atom) = -0.1269

POSCAR file:
```
Mg2PtAu4
1.0
-4.016 4.016 4.070
4.016 -4.016 4.070
4.016 4.016 -4.070
Mg Pt Au
4 2 8
Direct
0.001 0.625 0.876 Mg
0.375 0.251 0.376 Mg
0.749 0.125 0.124 Mg
0.875 0.999 0.624 Mg
0.250 0.750 0.500 Pt
0.500 0.500 0.000 Pt
0.122 0.372 0.078 Au
0.122 0.372 0.578 Au
0.294 0.044 0.922 Au
0.456 0.878 0.250 Au
0.628 0.206 0.750 Au
0.628 0.706 0.750 Au
0.794 0.544 0.422 Au
0.956 0.878 0.250 Au
```

***

[4]
## Mg2PtAu8 (PBE)

Data for crystalline Mg2PtAu8 at its relaxed geometry.

Output
- crystal system = monoclinic
- density of states at the Fermi level (states/eV/cell) = 3.262
- calculated total energy (hartree per atom) = -0.1255

POSCAR file:
```
Mg2PtAu8
1.0
6.264 -3.686 0.000
6.264 3.686 0.000
-1.112 0.000 4.685
Mg Pt Au
2 1 8
Direct
0.127 0.127 0.020 Mg
0.873 0.873 0.980 Mg
0.000 0.000 0.500 Pt
0.228 0.228 0.577 Au
0.233 0.623 0.709 Au
0.356 0.356 0.153 Au
0.377 0.767 0.291 Au
0.623 0.233 0.709 Au
0.644 0.644 0.847 Au
0.767 0.377 0.291 Au
0.772 0.772 0.423 Au
```

***

[5]
## Mg2PtAu (PBE)

Data for crystalline Mg2PtAu at its relaxed geometry.

Output
- crystal system = cubic
- density of states at the Fermi level (states/eV/cell) = 2.005
- calculated total energy (hartree per atom) = -0.1340

POSCAR file:
```
Mg2PtAu
1.0
0.000 3.259 3.259
3.259 0.000 3.259
3.259 3.259 0.000
Mg Pt Au
2 1 1
Direct
0.000 0.000 0.000 Mg
0.250 0.250 0.250 Mg
0.750 0.750 0.750 Pt
0.500 0.500 0.500 Au
```

***

[6]
## Mg2PtAu (PBE)

Data for crystalline Mg2PtAu at its relaxed geometry.

Output
- crystal system = orthorhombic
- density of states at the Fermi level (states/eV/cell) = 1.621
- calculated total energy (hartree per atom) = -0.1144

POSCAR file:
```
Mg2PtAu
1.0
-1.467 2.494 5.296
1.467 -2.494 5.296
1.467 2.494 -5.296
Mg Pt Au
2 1 1
Direct
0.242 0.242 0.000 Mg
0.758 0.758 0.000 Mg
0.000 0.000 0.000 Pt
0.500 0.500 0.000 Au
```

***

[7]
## MgPt5Au2 (PBE)

Data for crystalline MgPt5Au2 at its relaxed geometry.

Output
- crystal system = tetragonal
- density of states at the Fermi level (states/eV/cell) = 7.790
- calculated total energy (hartree per atom) = -0.1861

POSCAR file:
```
MgPt5Au2
1.0
-2.011 2.011 8.003
2.011 -2.011 8.003
2.011 2.011 -8.003
Mg Pt Au
1 5 2
Direct
0.000 0.000 0.000 Mg
0.119 0.619 0.500 Pt
0.381 0.881 0.500 Pt
0.500 0.500 0.000 Pt
0.619 0.119 0.500 Pt
0.881 0.381 0.500 Pt
0.252 0.252 0.000 Au
0.748 0.748 0.000 Au
```

***

[8]
## MgPt2Au8 (PBE)

Data for crystalline MgPt2Au8 at its relaxed geometry.

Output
- crystal system = monoclinic
- density of states at the Fermi level (states/eV/cell) = 3.848
- calculated total energy (hartree per atom) = -0.1383

POSCAR file:
```
MgPt2Au8
1.0
7.386 -2.068 0.000
7.386 2.068 0.000
-1.710 0.000 6.270
Mg Pt Au
1 2 8
Direct
0.000 0.000 0.000 Mg
0.273 0.273 0.369 Pt
0.727 0.727 0.631 Pt
0.092 0.092 0.451 Au
0.182 0.182 0.911 Au
0.364 0.364 0.816 Au
0.453 0.453 0.268 Au
0.547 0.547 0.732 Au
0.636 0.636 0.184 Au
0.818 0.818 0.089 Au
0.908 0.908 0.549 Au
```

***

[9]
## Mg3Pt12Au (PBE)

Data for crystalline Mg3Pt12Au at its relaxed geometry.

Output
- crystal system = tetragonal
- density of states at the Fermi level (states/eV/cell) = 14.157
- calculated total energy (hartree per atom) = -0.2013

POSCAR file:
```
Mg3Pt12Au
1.0
3.960 0.000 0.000
0.000 3.960 0.000
0.000 0.000 16.007
Mg Pt Au
3 12 1
Direct
0.000 0.000 0.000 Mg
0.000 0.000 0.247 Mg
0.000 0.000 0.753 Mg
0.000 0.500 0.123 Pt
0.000 0.500 0.371 Pt
0.000 0.500 0.629 Pt
0.000 0.500 0.877 Pt
0.500 0.000 0.123 Pt
0.500 0.000 0.371 Pt
0.500 0.000 0.629 Pt
0.500 0.000 0.877 Pt
0.500 0.500 0.000 Pt
0.500 0.500 0.247 Pt
0.500 0.500 0.500 Pt
0.500 0.500 0.753 Pt
0.000 0.000 0.500 Au
```

***

[10]
## Mg2PtAu (PBE)

Data for crystalline Mg2PtAu at its relaxed geometry.

Output
- crystal system = monoclinic
- density of states at the Fermi level (states/eV/cell) = 0.982
- calculated total energy (hartree per atom) = -0.1384

POSCAR file:
```
Mg2PtAu
1.0
4.976 -1.496 0.000
4.976 1.496 0.000
-1.065 0.000 4.643
Mg Pt Au
2 1 1
Direct
0.000 0.000 0.000 Mg
0.221 0.221 0.634 Mg
0.484 0.484 0.501 Pt
0.746 0.746 0.149 Au
```

***

[11]
## MgPtAu2 (PBE)

Data for crystalline MgPtAu2 at its relaxed geometry.

Output
- crystal system = monoclinic
- density of states at the Fermi level (states/eV/cell) = 0.865
- calculated total energy (hartree per atom) = -0.1457

POSCAR file:
```
MgPtAu2
1.0
2.987 0.000 0.000
0.000 3.948 0.000
-0.024 0.000 5.802
Mg Pt Au
1 1 2
Direct
0.000 0.000 0.000 Mg
0.502 0.500 0.225 Pt
0.002 0.000 0.483 Au
0.501 0.500 0.740 Au
```

***

[12]
## Mg2PtAu (PBE)

Data for crystalline Mg2PtAu at its relaxed geometry.

Output
- crystal system = monoclinic
- density of states at the Fermi level (states/eV/cell) = 1.511
- calculated total energy (hartree per atom) = -0.1322

POSCAR file:
```
Mg2PtAu
1.0
4.380 -1.507 0.000
4.380 1.507 0.000
-1.001 0.000 5.309
Mg Pt Au
2 1 1
Direct
0.247 0.247 0.240 Mg
0.753 0.753 0.760 Mg
0.500 0.500 0.000 Pt
0.000 0.000 0.500 Au
```

***

[13]
## Mg4Pt2Au (PBE)

Data for crystalline Mg4Pt2Au at its relaxed geometry.

Output
- crystal system = trigonal
- density of states at the Fermi level (states/eV/cell) = 4.260
- calculated total energy (hartree per atom) = -0.1400

POSCAR file:
```
Mg4Pt2Au
1.0
2.274 1.313 7.179
-2.274 1.313 7.179
0.000 -2.626 7.179
Mg Pt Au
4 2 1
Direct
0.115 0.115 0.115 Mg
0.370 0.370 0.370 Mg
0.630 0.630 0.630 Mg
0.885 0.885 0.885 Mg
0.246 0.246 0.246 Pt
0.754 0.754 0.754 Pt
0.500 0.500 0.500 Au
```

***

[14]
## MgPtAu4 (PBE)

Data for crystalline MgPtAu4 at its relaxed geometry.

Output
- crystal system = monoclinic
- energy above the most stable polymorph in this dataset (meV/atom) = 0
- density of states at the Fermi level (states/eV/cell) = 3.715
- calculated total energy (hartree per atom) = -0.1370

POSCAR file:
```
MgPtAu4
1.0
4.349 -2.541 0.000
4.349 2.541 0.000
-2.919 0.000 9.461
Mg Pt Au
2 2 8
Direct
0.000 0.500 0.000 Mg
0.500 0.000 0.500 Mg
0.081 0.919 0.250 Pt
0.919 0.081 0.750 Pt
0.165 0.672 0.500 Au
0.257 0.409 0.750 Au
0.328 0.835 0.000 Au
0.409 0.257 0.250 Au
0.591 0.743 0.750 Au
0.672 0.165 0.000 Au
0.743 0.591 0.250 Au
0.835 0.328 0.500 Au
```

***

[15]
## Mg2PtAu (PBE)

Data for crystalline Mg2PtAu at its relaxed geometry.

Output
- crystal system = trigonal
- density of states at the Fermi level (states/eV/cell) = 2.426
- calculated total energy (hartree per atom) = -0.1241

POSCAR file:
```
Mg2PtAu
1.0
1.508 0.871 9.265
-1.508 0.871 9.265
0.000 -1.741 9.265
Mg Pt Au
2 1 1
Direct
0.000 0.000 0.000 Mg
0.236 0.236 0.236 Mg
0.739 0.739 0.739 Pt
0.492 0.492 0.492 Au
```

***

[16]
## Mg4Pt2RhAu (PBE)

Data for crystalline Mg4Pt2RhAu at its relaxed geometry.

Output
- crystal system = trigonal
- density of states at the Fermi level (states/eV/cell) = 4.186
- calculated total energy (hartree per atom) = -0.1595

POSCAR file:
```
Mg4Pt2RhAu
1.0
2.251 1.300 7.347
-2.251 1.300 7.347
0.000 -2.599 7.347
Mg Pt Rh Au
4 2 1 1
Direct
0.122 0.122 0.122 Mg
0.373 0.373 0.373 Mg
0.627 0.627 0.627 Mg
0.878 0.878 0.878 Mg
0.250 0.250 0.250 Pt
0.750 0.750 0.750 Pt
0.000 0.000 0.000 Rh
0.500 0.500 0.500 Au
```

***

[17]
## MgSiPt2Au (PBE)

Data for crystalline MgSiPt2Au at its relaxed geometry.

Output
- crystal system = tetragonal
- uncorrected formation energy (eV/atom) = 0.1461
- density of states at the Fermi level (states/eV/cell) = 4.287
- calculated total energy (hartree per atom) = -0.1591

POSCAR file:
```
MgSiPt2Au
1.0
4.517 0.000 0.000
0.000 4.517 0.000
0.000 0.000 4.815
Mg Si Pt Au
1 1 2 1
Direct
0.000 0.000 0.000 Mg
0.000 0.000 0.500 Si
0.000 0.500 0.500 Pt
0.500 0.000 0.500 Pt
0.500 0.500 0.000 Au
```

***

[18]
## MgSi2PtAu (PBE)

Data for crystalline MgSi2PtAu at its relaxed geometry.

Output
- crystal system = tetragonal
- uncorrected formation energy (eV/atom) = 1.1492
- density of states at the Fermi level (states/eV/cell) = 2.250
- calculated total energy (hartree per atom) = -0.1177

POSCAR file:
```
MgSi2PtAu
1.0
4.724 0.000 0.000
0.000 4.724 0.000
0.000 0.000 4.771
Mg Si Pt Au
1 2 1 1
Direct
0.000 0.000 0.000 Mg
0.000 0.500 0.000 Si
0.500 0.000 0.000 Si
0.500 0.500 0.500 Pt
0.000 0.000 0.500 Au
```

***

[19]
## MgSnPtAu (PBE)

Data for crystalline MgSnPtAu at its relaxed geometry.

Output
- crystal system = cubic
- density of states at the Fermi level (states/eV/cell) = 1.595
- calculated total energy (hartree per atom) = -0.1539

POSCAR file:
```
MgSnPtAu
1.0
0.000 3.333 3.333
3.333 0.000 3.333
3.333 3.333 0.000
Mg Sn Pt Au
1 1 1 1
Direct
0.000 0.000 0.000 Mg
0.500 0.500 0.500 Sn
0.750 0.750 0.750 Pt
0.250 0.250 0.250 Au
```

***

[20]
## TbMgPtAu (PBE)

Data for crystalline TbMgPtAu at its relaxed geometry.

Output
- crystal system = cubic
- density of states at the Fermi level (states/eV/cell) = 1.582
- calculated total energy (hartree per atom) = -0.1754

POSCAR file:
```
TbMgPtAu
1.0
0.000 3.425 3.425
3.425 0.000 3.425
3.425 3.425 0.000
Tb Mg Pt Au
1 1 1 1
Direct
0.000 0.000 0.000 Tb
0.500 0.500 0.500 Mg
0.750 0.750 0.750 Pt
0.250 0.250 0.250 Au
```